! ErPuNiO6 | the Alexandria database | PBE with a Hubbard U | relaxed; values from VASP
! - DFT total energy: -8.087 eV/atom
! - Space group: No. 163
&SYSTEM
  ibrav = 0, nat = 18, ntyp = 4
/
ATOMIC_SPECIES
Er 167.26 Er.upf
Pu 244.00 Pu.upf
Ni 58.69 Ni.upf
O 16.00 O.upf
CELL_PARAMETERS angstrom
5.261 0.000 0.000
-2.631 4.556 0.000
0.000 0.000 9.868
ATOMIC_POSITIONS crystal
Er 0.000 0.000 0.000
Er 0.000 0.000 0.500
Pu 0.333 0.667 0.250
Pu 0.667 0.333 0.750
Ni 0.333 0.667 0.750
Ni 0.667 0.333 0.250
O 0.010 0.353 0.136
O 0.010 0.657 0.364
O 0.343 0.353 0.364
O 0.343 0.990 0.136
O 0.353 0.010 0.636
O 0.353 0.343 0.864
O 0.647 0.657 0.136
O 0.647 0.990 0.364
O 0.657 0.010 0.864
O 0.657 0.647 0.636
O 0.990 0.343 0.636
O 0.990 0.647 0.864